Material: Pa2MnSn
Method: DFT, PBE
State: optimized geometry

abc: 3.7541 3.7541 23.8769
angles: 90.00 90.00 120.00
Space group R-3m (No. 166, hexagonal axes)
Inequivalent atoms, fractional coordinates:
Pa 0.0000 0.0000 0.2282 x6
Mn 0.0000 0.0000 0.5000 x3
Sn 0.0000 0.0000 0.0000 x3

## Properties
VASP energy   -8.03 eV per atom
Formation enthalpy at 0 K   4 kJ/mol of formula units
Calculated volume   24.286 Å³/atom
Distance to the lowest polymorph of the same formula   193 meV per atom

Material: Tb6Sm4Y19
Method: DFT, PBE
State: optimized geometry

abc: 12.501 12.501 12.501
angles: 90.00 90.00 90.00
Space group I23 (No. 197)
Inequivalent atoms, fractional coordinates:
Tb 0.000 0.123 0.500 x12
Sm 0.180 0.180 0.180 x8
Y 0.000 0.000 0.000 x2
Y 0.000 0.000 0.260 x12
Y 0.061 0.280 0.735 x24

## Properties
VASP energy   -5.47 eV per atom
Formation enthalpy at 0 K   1059 kJ/mol of formula units
Calculated volume   33.686 Å³/atom

Material: BeS2NO
Method: DFT, PBE
State: optimized geometry

abc: 4.056 4.056 3.726
angles: 90.00 90.00 90.00
Space group P4/mmm (No. 123)
Inequivalent atoms, fractional coordinates:
Be 0.000 0.000 0.000 x1
S 0.000 0.500 0.500 x2
N 0.500 0.500 0.000 x1
O 0.500 0.500 0.500 x1

## Properties
VASP energy   -3.46 eV per atom
Calculated volume   12.263 Å³/atom
Distance to the lowest polymorph of the same formula   429 meV per atom

Material: EuZnRh
Method: DFT, PBE
State: optimized geometry

abc: 3.411 3.411 10.391
angles: 90.00 90.00 90.00
Space group I4mm (No. 107)
Inequivalent atoms, fractional coordinates:
Eu 0.000 0.000 0.000 x2
Zn 0.000 0.000 0.710 x2
Rh 0.000 0.000 0.302 x2

## Properties
VASP energy   -6.64 eV per atom
Formation enthalpy at 0 K   -99 kJ/mol of formula units
Calculated volume   20.155 Å³/atom